Record 1
Compound: LiAc2Cu4Si3
Source: the Alexandria database
Functional: GGA-PBE
Structure: optimized geometry

The structure in POSCAR format:
```
LiAc2Cu4Si3
1.0
-3.5195 2.3639 -0.8462
-0.5093 -2.0989 -3.7451
-5.6137 -6.7338 4.5374
Li Ac Cu Si
1 2 4 3
Cartesian
-4.8213 -3.2344 -0.0269 Li
-3.1268 -0.4579 0.6819 Ac
-4.5013 -6.1435 1.5599 Ac
-2.0144 0.1325 -2.2956 Cu
0.0000 0.0000 0.0000 Cu
-5.2592 -3.0158 2.4055 Cu
-2.3689 -3.5855 -0.1637 Cu
-2.8069 -3.3669 2.2687 Si
-6.6596 -4.6956 3.5374 Si
-0.9685 -1.9057 -1.2956 Si
```

Calculated values
Magnetization, μB per formula unit: 0.00
DOS(E_F), states/eV/cell: 4.43
Final energy, Ha/atom: -0.1727
Theoretical density, Mg/m³: 7.19

Record 2
Compound: Li3Ac2CuSn4
Source: the Alexandria database
Functional: GGA-PBE
Structure: optimized geometry

The structure in POSCAR format:
```
Li3Ac2CuSn4
1.0
4.6866 0.0000 0.0000
0.0000 4.6866 0.0000
0.0000 0.0000 10.9617
Li Ac Cu Sn
3 2 1 4
Cartesian
0.0000 0.0000 5.4809 Li
2.3433 0.0000 9.4618 Li
0.0000 2.3433 1.4999 Li
2.3433 0.0000 2.8624 Ac
0.0000 2.3433 8.0993 Ac
2.3433 2.3433 5.4809 Cu
2.3433 2.3433 0.0000 Sn
0.0000 0.0000 0.0000 Sn
2.3433 0.0000 6.7892 Sn
0.0000 2.3433 4.1725 Sn
```

Calculated values
Magnetization, μB per formula unit: 0.00
Energy relative to the elements, eV/atom: -0.54
DOS(E_F), states/eV/cell: 4.76
Final energy, Ha/atom: -0.1451
Theoretical density, Mg/m³: 6.99

Record 3
Compound: LiAcCuSn
Source: the Alexandria database
Functional: GGA-PBE
Structure: optimized geometry

The structure in POSCAR format:
```
LiAcCuSn
1.0
-0.8824 -2.6289 4.2097
3.4003 -3.3373 1.6468
2.6572 0.9602 4.1748
Ac Sn Cu Li
1 1 1 1
Cartesian
3.8813 -3.7544 7.5235 Ac
1.2938 -1.2515 2.5078 Sn
0.0000 0.0000 0.0000 Cu
2.5875 -2.5030 5.0157 Li
```

Calculated values
Magnetization, μB per formula unit: 0.00
Energy relative to the elements, eV/atom: -0.33
DOS(E_F), states/eV/cell: 2.23
Final energy, Ha/atom: -0.1418
Theoretical density, Mg/m³: 7.63